Entry 1:
Below is an optimized crystal structure of Li4YIn, with properties calculated at the GGA-PBE level.

a = 7.789 Å, b = 7.789 Å, c = 7.789 Å
α = 90.00°, β = 90.00°, γ = 90.00°
Space group F-43m (No. 216)
One atom of each set of equivalent atoms:
1 Li 0.124 0.124 0.376 (multiplicity 16)
2 Y 0.000 0.000 0.000 (multiplicity 4)
3 In 0.250 0.250 0.750 (multiplicity 4)

Results
As for the energy relative to the elements: -0.15 eV per atom. Its size of the total moment is 0.0 μB per formula unit.


Entry 2:
Below is an optimized crystal structure of Li2YIn, with properties calculated at the GGA-PBE level.

a = 5.032 Å, b = 5.032 Å, c = 7.105 Å
α = 90.00°, β = 90.00°, γ = 90.00°
Space group I-4m2 (No. 119)
One atom of each set of equivalent atoms:
1 Li 0.000 0.000 0.000 (multiplicity 2)
2 Li 0.000 0.500 0.250 (multiplicity 2)
3 Y 0.000 0.000 0.500 (multiplicity 2)
4 In 0.000 0.500 0.750 (multiplicity 2)

Results
As for the energy relative to the elements: -0.25 eV per atom. Its size of the total moment is 0.0 μB per formula unit.


Entry 3:
Below is an optimized crystal structure of Li2YIn, with properties calculated at the GGA-PBE level.

a = 3.393 Å, b = 5.183 Å, c = 5.510 Å
α = 90.00°, β = 93.42°, γ = 90.00°
Space group P2/m (No. 10)
One atom of each set of equivalent atoms:
1 Li 0.161 0.000 0.268 (multiplicity 2)
2 Y 0.500 0.500 0.000 (multiplicity 1)
3 In 0.000 0.500 0.500 (multiplicity 1)

Results
As for the energy relative to the elements: -0.15 eV per atom. Its size of the total moment is 0.0 μB per formula unit.


Entry 4:
Below is an optimized crystal structure of LiYIn, with properties calculated at the GGA-PBE level.

a = 4.105 Å, b = 3.703 Å, c = 5.318 Å
α = 90.00°, β = 90.35°, γ = 90.00°
Space group P2/m (No. 10)
One atom of each set of equivalent atoms:
1 Li 0.000 0.000 0.000 (multiplicity 1)
2 Y 0.500 0.000 0.500 (multiplicity 1)
3 In 0.500 0.500 0.000 (multiplicity 1)

Results
As for the energy relative to the elements: -0.03 eV per atom. Its size of the total moment is 0.7 μB per formula unit. For the energy above the most stable polymorph in this dataset, the calculation gives 325 meV/atom.


Entry 5:
Below is an optimized crystal structure of LiYIn3, with properties calculated at the GGA-PBE level.

a = 6.8660 Å, b = 6.8660 Å, c = 5.8517 Å
α = 90.00°, β = 90.00°, γ = 120.00°
Space group P6_3/mmc (No. 194)
One atom of each set of equivalent atoms:
1 Li 0.0000 0.0000 0.0000 (multiplicity 2)
2 Y 0.3333 0.6667 0.2500 (multiplicity 2)
3 In 0.1883 0.3767 0.7500 (multiplicity 6)

Results
As for the energy relative to the elements: -0.23 eV per atom. Its size of the total moment is 0.0 μB per formula unit. For the energy above the most stable polymorph in this dataset, the calculation gives 0 meV/atom.


Entry 6:
Below is an optimized crystal structure of Li2YIn3, with properties calculated at the GGA-PBE level.

a = 4.8804 Å, b = 4.8804 Å, c = 13.1693 Å
α = 90.00°, β = 90.00°, γ = 120.00°
Space group P6_3/mmc (No. 194)
One atom of each set of equivalent atoms:
1 Li 0.3333 0.6667 0.0990 (multiplicity 4)
2 Y 0.0000 0.0000 0.2500 (multiplicity 2)
3 In 0.0000 0.0000 0.0000 (multiplicity 2)
4 In 0.3333 0.6667 0.6328 (multiplicity 4)

Results
As for the energy relative to the elements: -0.32 eV per atom. Its size of the total moment is 0.0 μB per formula unit.


Entry 7:
Below is an optimized crystal structure of LiYIn, with properties calculated at the GGA-PBE level.

a = 4.9395 Å, b = 4.9395 Å, c = 3.4112 Å
α = 90.00°, β = 90.00°, γ = 120.00°
Space group P-6m2 (No. 187)
One atom of each set of equivalent atoms:
1 Li 0.0000 0.0000 0.0000 (multiplicity 1)
2 Y 0.6667 0.3333 0.5000 (multiplicity 1)
3 In 0.3333 0.6667 0.0000 (multiplicity 1)

Results
As for the energy relative to the elements: -0.35 eV per atom. Its size of the total moment is 0.0 μB per formula unit. For the energy above the most stable polymorph in this dataset, the calculation gives 0 meV/atom.


Entry 8:
Below is an optimized crystal structure of LiY5In4, with properties calculated at the GGA-PBE level.

a = 3.628 Å, b = 3.628 Å, c = 20.032 Å
α = 90.00°, β = 90.00°, γ = 90.00°
Space group P4/mmm (No. 123)
One atom of each set of equivalent atoms:
1 Li 0.000 0.000 0.000 (multiplicity 1)
2 Y 0.500 0.500 0.095 (multiplicity 2)
3 Y 0.500 0.500 0.296 (multiplicity 2)
4 Y 0.500 0.500 0.500 (multiplicity 1)
5 In 0.000 0.000 0.192 (multiplicity 2)
6 In 0.000 0.000 0.397 (multiplicity 2)

Results
As for the energy relative to the elements: -0.40 eV per atom. Its size of the total moment is 0.0 μB per formula unit.


Entry 9:
Below is an optimized crystal structure of LiYIn3, with properties calculated at the GGA-PBE level.

a = 4.947 Å, b = 4.947 Å, c = 4.947 Å
α = 90.00°, β = 90.00°, γ = 90.00°
Space group Pm-3m (No. 221)
One atom of each set of equivalent atoms:
1 Li 0.000 0.000 0.000 (multiplicity 1)
2 Y 0.500 0.500 0.500 (multiplicity 1)
3 In 0.000 0.000 0.500 (multiplicity 3)

Results
As for the energy relative to the elements: -0.09 eV per atom. Its size of the total moment is 0.0 μB per formula unit. For the energy above the most stable polymorph in this dataset, the calculation gives 144 meV/atom.


Entry 10:
Below is an optimized crystal structure of Li2YIn, with properties calculated at the GGA-PBE level.

a = 4.396 Å, b = 4.396 Å, c = 20.894 Å
α = 90.00°, β = 90.00°, γ = 90.00°
Space group I-42d (No. 122)
One atom of each set of equivalent atoms:
1 Li 0.176 0.250 0.125 (multiplicity 8)
2 Y 0.000 0.000 0.500 (multiplicity 4)
3 In 0.000 0.000 0.000 (multiplicity 4)

Results
As for the energy relative to the elements: -0.01 eV per atom. Its size of the total moment is 0.0 μB per formula unit.


Entry 11:
Below is an optimized crystal structure of LiY4In2, with properties calculated at the GGA-PBE level.

a = 5.2567 Å, b = 5.2567 Å, c = 25.2324 Å
α = 90.00°, β = 90.00°, γ = 120.00°
Space group R-3m (No. 166, hexagonal axes)
One atom of each set of equivalent atoms:
1 Li 0.0000 0.0000 0.0000 (multiplicity 3)
2 Y 0.0000 0.0000 0.1298 (multiplicity 6)
3 Y 0.0000 0.0000 0.3826 (multiplicity 6)
4 In 0.0000 0.0000 0.2556 (multiplicity 6)

Results
As for the energy relative to the elements: -0.24 eV per atom. Its size of the total moment is 0.6 μB per formula unit.


Entry 12:
Below is an optimized crystal structure of Li4YIn5, with properties calculated at the GGA-PBE level.

a = 3.522 Å, b = 3.522 Å, c = 16.963 Å
α = 90.00°, β = 90.00°, γ = 90.00°
Space group P4/mmm (No. 123)
One atom of each set of equivalent atoms:
1 Li 0.000 0.000 0.094 (multiplicity 2)
2 Li 0.000 0.000 0.282 (multiplicity 2)
3 Y 0.000 0.000 0.500 (multiplicity 1)
4 In 0.500 0.500 0.000 (multiplicity 1)
5 In 0.500 0.500 0.189 (multiplicity 2)
6 In 0.500 0.500 0.375 (multiplicity 2)

Results
As for the energy relative to the elements: -0.32 eV per atom. Its size of the total moment is 0.3 μB per formula unit.


Entry 13:
Below is an optimized crystal structure of LiYIn, with properties calculated at the GGA-PBE level.

a = 7.123 Å, b = 7.123 Å, c = 7.123 Å
α = 90.00°, β = 90.00°, γ = 90.00°
Space group F-43m (No. 216)
One atom of each set of equivalent atoms:
1 Li 0.000 0.000 0.000 (multiplicity 4)
2 Y 0.250 0.250 0.250 (multiplicity 4)
3 In 0.000 0.000 0.500 (multiplicity 4)

Results
As for the energy relative to the elements: 0.26 eV per atom. Its size of the total moment is 0.0 μB per formula unit. For the energy above the most stable polymorph in this dataset, the calculation gives 616 meV/atom.


Entry 14:
Below is an optimized crystal structure of LiYIn, with properties calculated at the GGA-PBE level.

a = 7.325 Å, b = 4.795 Å, c = 8.157 Å
α = 90.00°, β = 90.00°, γ = 90.00°
Space group Pnma (No. 62)
One atom of each set of equivalent atoms:
1 Li 0.196 0.250 0.083 (multiplicity 4)
2 Y 0.003 0.750 0.284 (multiplicity 4)
3 In 0.211 0.750 0.913 (multiplicity 4)

Results
As for the energy relative to the elements: -0.35 eV per atom. Its size of the total moment is 0.0 μB per formula unit. For the energy above the most stable polymorph in this dataset, the calculation gives 7 meV/atom.


Entry 15:
Below is an optimized crystal structure of LiY3In12, with properties calculated at the GGA-PBE level.

a = 4.646 Å, b = 4.646 Å, c = 18.328 Å
α = 90.00°, β = 90.00°, γ = 90.00°
Space group P4/mmm (No. 123)
One atom of each set of equivalent atoms:
1 Li 0.000 0.000 0.000 (multiplicity 1)
2 Y 0.000 0.000 0.246 (multiplicity 2)
3 Y 0.000 0.000 0.500 (multiplicity 1)
4 In 0.000 0.500 0.117 (multiplicity 4)
5 In 0.000 0.500 0.373 (multiplicity 4)
6 In 0.500 0.500 0.000 (multiplicity 1)
7 In 0.500 0.500 0.248 (multiplicity 2)
8 In 0.500 0.500 0.500 (multiplicity 1)

Results
As for the energy relative to the elements: -0.34 eV per atom. Its size of the total moment is 0.0 μB per formula unit.


Entry 16:
Below is an optimized crystal structure of LiY2In3, with properties calculated at the GGA-PBE level.

a = 7.152 Å, b = 9.779 Å, c = 16.920 Å
α = 90.00°, β = 90.00°, γ = 90.00°
Space group Fmmm (No. 69)
One atom of each set of equivalent atoms:
1 Li 0.000 0.000 0.168 (multiplicity 8)
2 Y 0.250 0.000 0.000 (multiplicity 8)
3 Y 0.250 0.250 0.250 (multiplicity 8)
4 In 0.000 0.000 0.328 (multiplicity 8)
5 In 0.000 0.242 0.087 (multiplicity 16)

Results
As for the energy relative to the elements: -0.44 eV per atom. Its size of the total moment is 0.0 μB per formula unit.


Entry 17:
Below is an optimized crystal structure of LiYIn, with properties calculated at the GGA-PBE level.

a = 3.325 Å, b = 4.795 Å, c = 9.222 Å
α = 90.00°, β = 90.00°, γ = 90.00°
Space group Imm2 (No. 44)
One atom of each set of equivalent atoms:
1 Li 0.000 0.000 0.000 (multiplicity 2)
2 Y 0.000 0.000 0.674 (multiplicity 2)
3 In 0.000 0.000 0.331 (multiplicity 2)

Results
As for the energy relative to the elements: -0.21 eV per atom. Its size of the total moment is 0.0 μB per formula unit. For the energy above the most stable polymorph in this dataset, the calculation gives 144 meV/atom.


Entry 18:
Below is an optimized crystal structure of Li2Y2In, with properties calculated at the GGA-PBE level.

a = 3.603 Å, b = 3.603 Å, c = 19.716 Å
α = 90.00°, β = 90.00°, γ = 90.00°
Space group I4/mmm (No. 139)
One atom of each set of equivalent atoms:
1 Li 0.000 0.500 0.250 (multiplicity 4)
2 Y 0.000 0.000 0.103 (multiplicity 4)
3 In 0.000 0.000 0.500 (multiplicity 2)

Results
As for the energy relative to the elements: -0.04 eV per atom. Its size of the total moment is 0.0 μB per formula unit. For the energy above the most stable polymorph in this dataset, the calculation gives 95 meV/atom.


Entry 19:
Below is an optimized crystal structure of Li2YIn9, with properties calculated at the GGA-PBE level.

a = 4.555 Å, b = 4.555 Å, c = 13.974 Å
α = 90.00°, β = 90.00°, γ = 90.00°
Space group P4/mmm (No. 123)
One atom of each set of equivalent atoms:
1 Li 0.000 0.000 0.172 (multiplicity 2)
2 Y 0.000 0.000 0.500 (multiplicity 1)
3 In 0.000 0.500 0.000 (multiplicity 2)
4 In 0.000 0.500 0.326 (multiplicity 4)
5 In 0.500 0.500 0.167 (multiplicity 2)
6 In 0.500 0.500 0.500 (multiplicity 1)

Results
As for the energy relative to the elements: -0.21 eV per atom. Its size of the total moment is 0.0 μB per formula unit.


Entry 20:
Below is an optimized crystal structure of Li2YZn2In2, with properties calculated at the GGA-PBE level.

a = 8.080 Å, b = 4.665 Å, c = 8.469 Å
α = 90.00°, β = 108.43°, γ = 90.00°
Space group C2/m (No. 12)
One atom of each set of equivalent atoms:
1 Li 0.133 0.000 0.398 (multiplicity 4)
2 Y 0.000 0.000 0.000 (multiplicity 2)
3 Zn 0.101 0.500 0.801 (multiplicity 4)
4 In 0.242 0.500 0.228 (multiplicity 4)

Results
As for the energy relative to the elements: -0.28 eV per atom. Its size of the total moment is 0.0 μB per formula unit.